No. 1
SmY12Er7 | PBE | optimized geometry

The value obtained for the energy above the lowest structure with this stoichiometry is 0.0 kJ per mole of atoms.

It has space group R-3 (No. 148, hexagonal axes), with a = 12.8331 Å, b = 12.8331 Å, c = 13.6018 Å, α = 90.00°, β = 90.00° and γ = 120.00°. The distinct sites, in fractional coordinates, are Sm at (0.0000, 0.0000, 0.0000), Y at (0.0004, 0.4360, 0.2490), Y at (0.0684, 0.1988, 0.3462), Er at (0.0000, 0.0000, 0.5000) and Er at (0.0688, 0.8680, 0.8493).

No. 2
Sm4Y3Er3 | PBE | optimized geometry

The electronic total energy comes out at -5.11 eV/atom.

It has space group Amm2 (No. 38), with a = 3.777 Å, b = 13.142 Å, c = 13.142 Å, α = 90.00°, β = 90.00° and γ = 90.00°. The distinct sites, in fractional coordinates, are Sm at (0.000, 0.000, 0.000), Sm at (0.000, 0.000, 0.259), Sm at (0.000, 0.130, 0.627), Y at (0.000, 0.250, 0.379), Y at (0.500, 0.000, 0.798), Er at (0.500, 0.000, 0.460) and Er at (0.500, 0.169, 0.129).

No. 3
Sm5YEr | PBE | optimized geometry

The electronic total energy comes out at -4.76 eV/atom.

It has space group P-1 (No. 2), with a = 6.266 Å, b = 6.277 Å, c = 7.000 Å, α = 99.68°, β = 99.65° and γ = 112.63°. The distinct sites, in fractional coordinates, are Sm at (0.000, 0.000, 0.000), Sm at (0.095, 0.527, 0.767), Sm at (0.473, 0.906, 0.234), Y at (0.000, 0.000, 0.500) and Er at (0.500, 0.500, 0.500).

No. 4
Sm4Y5Er3 | PBE | optimized geometry

The value obtained for the energy above the lowest structure with this stoichiometry is 20.2 kJ per mole of atoms.

It has space group C2/m (No. 12), with a = 16.165 Å, b = 5.906 Å, c = 9.335 Å, α = 90.00°, β = 116.56° and γ = 90.00°. The distinct sites, in fractional coordinates, are Sm at (0.083, 0.000, 0.446), Sm at (0.217, 0.000, 0.882), Y at (0.000, 0.000, 0.000), Y at (0.072, 0.500, 0.705), Y at (0.172, 0.500, 0.384), Er at (0.000, 0.500, 0.000) and Er at (0.211, 0.000, 0.235).

No. 5
Sm3Y2Er5 | PBE | optimized geometry

The value obtained for the energy above the lowest structure with this stoichiometry is 14.4 kJ per mole of atoms.

It has space group Ibam (No. 72), with a = 12.842 Å, b = 16.946 Å, c = 6.267 Å, α = 90.00°, β = 90.00° and γ = 90.00°. The distinct sites, in fractional coordinates, are Sm at (0.000, 0.000, 0.250), Sm at (0.159, 0.249, 0.000), Y at (0.101, 0.156, 0.500), Er at (0.000, 0.500, 0.250), Er at (0.099, 0.345, 0.500) and Er at (0.247, 0.500, 0.250).

No. 6
Sm5Y5Er | PBE | optimized geometry

The value obtained for the energy above the lowest structure with this stoichiometry is 0.0 kJ per mole of atoms.

It has space group C2/m (No. 12), with a = 18.990 Å, b = 6.019 Å, c = 6.984 Å, α = 90.00°, β = 111.34° and γ = 90.00°. The distinct sites, in fractional coordinates, are Sm at (0.000, 0.000, 0.000), Sm at (0.124, 0.500, 0.125), Sm at (0.170, 0.500, 0.671), Y at (0.000, 0.500, 0.500), Y at (0.177, 0.000, 0.430), Y at (0.177, 0.000, 0.923) and Er at (0.000, 0.000, 0.500).

no.,magnetic moment (μB per formula unit)
1,0.00
2,0.00
3,0.00
4,0.61
5,0.00
6,1.38